1.
# GGA-PBE Sr2TlZn2, relaxed
data_Sr2TlZn2
_chemical_formula_sum 'Sr4 Tl2 Zn4'
_symmetry_space_group_name_H-M 'P 4/m b m'
_symmetry_Int_Tables_number 127
_symmetry_space_group_name_Hall '-P 4 2ab'
_cell_length_a 9.1818
_cell_length_b 9.1818
_cell_length_c 3.8134
_cell_angle_alpha 90.00
_cell_angle_beta 90.00
_cell_angle_gamma 90.00
loop_
_atom_site_label
_atom_site_type_symbol
_atom_site_fract_x
_atom_site_fract_y
_atom_site_fract_z
_atom_site_occupancy
Sr1 Sr 0.1809 0.3191 0.0000 1
Tl1 Tl 0.0000 0.0000 0.0000 1
Zn1 Zn 0.1045 0.6045 0.5000 1
# V ... 32.15 Å³/atom
# Formation enthalpy at 0 K ... -0.26 eV per formula unit
# Fermi-level density of states ... 10.5 states/eV per cell
# Total moment ... 0.00 Bohr magnetons per cell
# E ... -1.707 eV per atom



2.
# GGA-PBE Mg2ZrRu, relaxed
data_Mg2ZrRu
_chemical_formula_sum 'Mg2 Zr1 Ru1'
_symmetry_space_group_name_H-M 'P 1 2/m 1'
_symmetry_Int_Tables_number 10
_cell_length_a 3.0135
_cell_length_b 4.7510
_cell_length_c 5.4093
_cell_angle_alpha 90.00
_cell_angle_beta 105.57
_cell_angle_gamma 90.00
loop_
_symmetry_equiv_pos_as_xyz
'x,y,z'
'-x,-y,-z'
'-x,y,-z'
'x,-y,z'
loop_
_atom_site_label
_atom_site_type_symbol
_atom_site_fract_x
_atom_site_fract_y
_atom_site_fract_z
_atom_site_occupancy
Mg1 Mg 0.1048 0.0000 0.2715 1
Zr1 Zr 0.5000 0.5000 0.0000 1
Ru1 Ru 0.5000 0.5000 0.5000 1
# V ... 18.65 Å³/atom
# Formation enthalpy at 0 K ... 0.00 eV per formula unit
# Fermi-level density of states ... 3.5 states/eV per cell
# Total moment ... 0.32 Bohr magnetons per cell
# Energy above the lowest structure with this stoichiometry ... 194 meV per atom
# E ... -5.254 eV per atom



3.
# GGA-PBE NaBiCl3, relaxed
data_NaBiCl3
_chemical_formula_sum 'Na6 Bi6 Cl18'
_symmetry_space_group_name_H-M 'R -3'
_symmetry_Int_Tables_number 148
_symmetry_space_group_name_Hall '-R 3'
_cell_length_a 7.5678
_cell_length_b 7.5678
_cell_length_c 17.9266
_cell_angle_alpha 90.00
_cell_angle_beta 90.00
_cell_angle_gamma 120.00
loop_
_atom_site_label
_atom_site_type_symbol
_atom_site_fract_x
_atom_site_fract_y
_atom_site_fract_z
_atom_site_occupancy
Na1 Na 0.0000 0.0000 0.1553 1
Bi1 Bi 0.0000 0.0000 0.4124 1
Cl1 Cl 0.0112 0.6968 0.7517 1
# E_form (uncorrected) ... -1.197 eV per atom
# V ... 29.64 Å³/atom
# Fermi-level density of states ... 0.0 states/eV per cell
# Total moment ... 0.00 Bohr magnetons per cell
# Energy above the lowest structure with this stoichiometry ... 9 meV per atom
# E ... -3.345 eV per atom



4.
# GGA-PBE Y6Pd12Au, relaxed
data_Y6Pd12Au
_chemical_formula_sum 'Y18 Pd36 Au3'
_symmetry_space_group_name_H-M 'R -3'
_symmetry_Int_Tables_number 148
_symmetry_space_group_name_Hall '-R 3'
_cell_length_a 10.8203
_cell_length_b 10.8203
_cell_length_c 11.2038
_cell_angle_alpha 90.00
_cell_angle_beta 90.00
_cell_angle_gamma 120.00
loop_
_atom_site_label
_atom_site_type_symbol
_atom_site_fract_x
_atom_site_fract_y
_atom_site_fract_z
_atom_site_occupancy
Y1 Y 0.0129 0.4322 0.2426 1
Pd1 Pd 0.0613 0.1923 0.3206 1
Pd2 Pd 0.0627 0.8873 0.8910 1
Au1 Au 0.0000 0.0000 0.5000 1
# V ... 19.93 Å³/atom
# Formation enthalpy at 0 K ... -13.76 eV per formula unit
# Fermi-level density of states ... 28.6 states/eV per cell
# Total moment ... 0.00 Bohr magnetons per cell
# E ... -6.217 eV per atom



5.
# GGA-PBE PaVPd2, relaxed
data_PaVPd2
_chemical_formula_sum 'Pa1 V1 Pd2'
_symmetry_space_group_name_H-M 'P 4/m m m'
_symmetry_Int_Tables_number 123
_symmetry_space_group_name_Hall '-P 4 2'
_cell_length_a 3.1381
_cell_length_b 3.1381
_cell_length_c 7.2829
_cell_angle_alpha 90.00
_cell_angle_beta 90.00
_cell_angle_gamma 90.00
loop_
_atom_site_label
_atom_site_type_symbol
_atom_site_fract_x
_atom_site_fract_y
_atom_site_fract_z
_atom_site_occupancy
Pa1 Pa 0.0000 0.0000 0.0000 1
V1 V 0.0000 0.0000 0.5000 1
Pd1 Pd 0.5000 0.5000 0.2883 1
# V ... 17.93 Å³/atom
# Formation enthalpy at 0 K ... -0.72 eV per formula unit
# Fermi-level density of states ... 5.9 states/eV per cell
# Total moment ... 2.64 Bohr magnetons per cell
# Energy above the lowest structure with this stoichiometry ... 131 meV per atom
# E ... -7.431 eV per atom



6.
# GGA-PBE Np2Ag3HS6, relaxed
data_Np2Ag3HS6
_chemical_formula_sum 'Np4 Ag6 H2 S12'
_symmetry_space_group_name_H-M 'C 1 2/m 1'
_symmetry_Int_Tables_number 12
_cell_length_a 17.1745
_cell_length_b 3.8025
_cell_length_c 8.3805
_cell_angle_alpha 90.00
_cell_angle_beta 98.50
_cell_angle_gamma 90.00
loop_
_symmetry_equiv_pos_as_xyz
'x,y,z'
'-x,-y,-z'
'-x,y,-z'
'x,-y,z'
'x+1/2,y+1/2,z'
'-x+1/2,-y+1/2,-z'
'-x+1/2,y+1/2,-z'
'x+1/2,-y+1/2,z'
loop_
_atom_site_label
_atom_site_type_symbol
_atom_site_fract_x
_atom_site_fract_y
_atom_site_fract_z
_atom_site_occupancy
Np1 Np 0.1622 0.0000 0.3540 1
Ag1 Ag 0.0000 0.5000 0.5000 1
Ag2 Ag 0.0774 0.0000 0.9797 1
H1 H 0.0000 0.5000 0.0000 1
S1 S 0.0073 0.0000 0.2967 1
S2 S 0.1676 0.5000 0.1346 1
S3 S 0.1794 0.5000 0.5805 1
# V ... 22.55 Å³/atom
# Fermi-level density of states ... 32.4 states/eV per cell
# Total moment ... 11.51 Bohr magnetons per cell
# E ... -5.692 eV per atom



7.
# GGA-PBE KZnSb2, relaxed
data_KZnSb2
_chemical_formula_sum 'K2 Zn2 Sb4'
_symmetry_space_group_name_H-M 'I 4/m m m'
_symmetry_Int_Tables_number 139
_symmetry_space_group_name_Hall '-I 4 2'
_cell_length_a 4.5849
_cell_length_b 4.5849
_cell_length_c 10.6457
_cell_angle_alpha 90.00
_cell_angle_beta 90.00
_cell_angle_gamma 90.00
loop_
_atom_site_label
_atom_site_type_symbol
_atom_site_fract_x
_atom_site_fract_y
_atom_site_fract_z
_atom_site_occupancy
K1 K 0.0000 0.0000 0.0000 1
Zn1 Zn 0.0000 0.0000 0.5000 1
Sb1 Sb 0.0000 0.5000 0.2500 1
# E_form (uncorrected) ... 0.050 eV per atom
# V ... 27.97 Å³/atom
# Fermi-level density of states ... 4.5 states/eV per cell
# Total moment ... 0.00 Bohr magnetons per cell
# E ... -2.604 eV per atom



8.
# GGA-PBE Sm2Al3Ag5, relaxed
data_Sm2Al3Ag5
_chemical_formula_sum 'Sm8 Al12 Ag20'
_symmetry_space_group_name_H-M 'I b a m'
_symmetry_Int_Tables_number 72
_symmetry_space_group_name_Hall '-I 2 2c'
_cell_length_a 11.2586
_cell_length_b 12.1836
_cell_length_c 6.1347
_cell_angle_alpha 90.00
_cell_angle_beta 90.00
_cell_angle_gamma 90.00
loop_
_atom_site_label
_atom_site_type_symbol
_atom_site_fract_x
_atom_site_fract_y
_atom_site_fract_z
_atom_site_occupancy
Sm1 Sm 0.2316 0.1319 0.0000 1
Al1 Al 0.0000 0.5000 0.2500 1
Al2 Al 0.1213 0.1322 0.5000 1
Ag1 Ag 0.0000 0.0000 0.2500 1
Ag2 Ag 0.0000 0.2652 0.2500 1
Ag3 Ag 0.1555 0.3952 0.0000 1
# V ... 21.04 Å³/atom
# Formation enthalpy at 0 K ... -2.67 eV per formula unit
# Fermi-level density of states ... 25.3 states/eV per cell
# Total moment ... 0.00 Bohr magnetons per cell
# Energy above the lowest structure with this stoichiometry ... 0 meV per atom
# E ... -3.759 eV per atom



9.
# GGA-PBE ScAg3, relaxed
data_ScAg3
_chemical_formula_sum 'Sc3 Ag9'
_symmetry_space_group_name_H-M 'R -3 m'
_symmetry_Int_Tables_number 166
_symmetry_space_group_name_Hall '-R 3 2"'
_cell_length_a 3.0833
_cell_length_b 3.0833
_cell_length_c 28.1015
_cell_angle_alpha 90.00
_cell_angle_beta 90.00
_cell_angle_gamma 120.00
loop_
_atom_site_label
_atom_site_type_symbol
_atom_site_fract_x
_atom_site_fract_y
_atom_site_fract_z
_atom_site_occupancy
Sc1 Sc 0.0000 0.0000 0.0000 1
Ag1 Ag 0.0000 0.0000 0.2491 1
Ag2 Ag 0.0000 0.0000 0.5000 1
# V ... 19.28 Å³/atom
# Formation enthalpy at 0 K ... 0.02 eV per formula unit
# Fermi-level density of states ... 8.4 states/eV per cell
# Total moment ... 0.01 Bohr magnetons per cell
# E ... -3.717 eV per atom



10.
# GGA-PBE PrZn2TcN4, relaxed
data_PrZn2TcN4
_chemical_formula_sum 'Pr2 Zn4 Tc2 N8'
_symmetry_space_group_name_H-M 'I 2 2 2'
_symmetry_Int_Tables_number 23
_cell_length_a 5.4252
_cell_length_b 5.9634
_cell_length_c 6.6565
_cell_angle_alpha 90.00
_cell_angle_beta 90.00
_cell_angle_gamma 90.00
loop_
_symmetry_equiv_pos_as_xyz
'x,y,z'
'-x,-y,z'
'x,-y,-z'
'-x,y,-z'
'x+1/2,y+1/2,z+1/2'
'-x+1/2,-y+1/2,z+1/2'
'x+1/2,-y+1/2,-z+1/2'
'-x+1/2,y+1/2,-z+1/2'
loop_
_atom_site_label
_atom_site_type_symbol
_atom_site_fract_x
_atom_site_fract_y
_atom_site_fract_z
_atom_site_occupancy
Pr1 Pr 0.0000 0.0000 0.0000 1
Zn1 Zn 0.0000 0.5000 0.2833 1
Tc1 Tc 0.0000 0.0000 0.5000 1
N1 N 0.1980 0.1766 0.3354 1
# E_form (uncorrected) ... -0.227 eV per atom
# V ... 13.46 Å³/atom
# Fermi-level density of states ... 3.8 states/eV per cell
# Total moment ... 0.00 Bohr magnetons per cell
# E ... -6.601 eV per atom



11.
# GGA-PBE NaPd6Pb6, relaxed
data_NaPd6Pb6
_chemical_formula_sum 'Na2 Pd12 Pb12'
_symmetry_space_group_name_H-M 'I m m m'
_symmetry_Int_Tables_number 71
_symmetry_space_group_name_Hall '-I 2 2'
_cell_length_a 5.8752
_cell_length_b 9.3299
_cell_length_c 10.2062
_cell_angle_alpha 90.00
_cell_angle_beta 90.00
_cell_angle_gamma 90.00
loop_
_atom_site_label
_atom_site_type_symbol
_atom_site_fract_x
_atom_site_fract_y
_atom_site_fract_z
_atom_site_occupancy
Na1 Na 0.0000 0.0000 0.0000 1
Pd1 Pd 0.0000 0.2510 0.5000 1
Pd2 Pd 0.2500 0.2500 0.2500 1
Pb1 Pb 0.0000 0.0000 0.3333 1
Pb2 Pb 0.0000 0.3333 0.0000 1
Pb3 Pb 0.0000 0.5000 0.3338 1
# V ... 21.52 Å³/atom
# Formation enthalpy at 0 K ... -3.18 eV per formula unit
# Fermi-level density of states ... 13.6 states/eV per cell
# Total moment ... 0.00 Bohr magnetons per cell
# E ... -4.454 eV per atom



> What is the V in the first record?

32.15 Å³/atom



> Number 7 is which compound?

KZnSb2



> Number 1 is which compound?

Sr2TlZn2